No. 1
DySnRu2 (PBE, optimized geometry); V = 71.79 Å³/cell; SG = P4/mmm (123); calculated density = 11.18 Mg/m³; final energy = -7.159 eV per atom
1.0
4.606 0.000 0.000
0.000 4.606 0.000
0.000 0.000 3.383
Dy Sn Ru
1 1 2
direct
0.000 0.000 0.000
0.500 0.500 0.000
0.000 0.500 0.500
0.500 0.000 0.500

No. 2
Dy4SnRu2 (PBE, optimized geometry); V = 336.81 Å³/cell; SG = P1 (1); calculated density = 9.57 Mg/m³; final energy = -6.258 eV per atom
1.0
6.985 0.000 0.000
-1.715 6.960 0.000
-1.985 -2.942 6.928
Dy Sn Ru
8 2 4
direct
0.000 0.000 0.000
0.027 0.595 0.202
0.253 0.356 0.823
0.357 0.101 0.430
0.452 0.723 0.676
0.589 0.140 0.099
0.836 0.983 0.436
0.891 0.557 0.612
0.483 0.541 0.267
0.737 0.256 0.800
0.091 0.331 0.397
0.190 0.940 0.695
0.325 0.789 0.064
0.675 0.651 0.980